Li2ScCo (PBE, optimized geometry); formation energy = 53.1 kJ/mol of formula units; M_tot = 0.00 μB per atom; E above lowest polymorph = 106 meV per atom
1.0
4.442 -1.492 0.000
4.442 1.492 0.000
-2.463 0.000 5.117
Li Sc Co
2 1 1
Direct
0.000 0.000 0.000
0.214 0.214 0.797
0.835 0.835 0.388
0.559 0.559 0.395

=====

LiSc2Co (PBE, optimized geometry); formation energy = -60.1 kJ/mol of formula units; M_tot = 0.11 μB per atom
1.0
3.121 0.000 0.000
0.000 3.143 0.000
0.000 0.000 7.708
Li Sc Co
1 2 1
Direct
0.000 0.000 0.000
0.500 0.500 0.303
0.500 0.500 0.697
0.000 0.000 0.500

=====

LiSc2Co (PBE, optimized geometry); formation energy = 38.7 kJ/mol of formula units; M_tot = 0.00 μB per atom
1.0
3.448 0.000 0.000
0.000 3.522 0.000
0.000 0.000 6.133
Li Sc Co
1 2 1
Direct
0.000 0.000 0.000
0.000 0.000 0.418
0.500 0.500 0.736
0.500 0.500 0.294

=====

LiSc3Co (PBE, optimized geometry); formation energy = -0.7 kJ/mol of formula units; M_tot = 0.00 μB per atom; E above lowest polymorph = 0 meV per atom
1.0
4.890 0.000 0.000
0.000 4.890 0.000
0.000 0.000 4.890
Li Sc Co
1 3 1
Direct
0.000 0.000 0.000
0.000 0.500 0.500
0.500 0.000 0.500
0.500 0.500 0.000
0.500 0.500 0.500